(1)
The following is a DFT calculation (GGA-PBEsol) of a geometry-optimized SrCl structure.

Cell lengths 4.2062, 4.2062, 9.3003 Å; angles 90.00, 90.00, 120.00 degrees
With the nearest neighbours (Å) after each atom.
Space group P6_3mc (No. 186)
Inequivalent atoms, fractional coordinates:
Sr 0.3333 0.6667 0.0000  4 Cl 2.87-3.01
Cl 0.3333 0.6667 0.3091  4 Sr 2.87-3.01

(2)
The following is a DFT calculation (GGA-PBEsol) of a geometry-optimized BaNiTe4 structure.

Cell lengths 8.9652, 8.9652, 8.9652 Å; angles 90.00, 90.00, 90.00 degrees
With the nearest neighbours (Å) after each atom.
Space group F-43m (No. 216)
Inequivalent atoms, fractional coordinates:
Ba 0.0000 0.0000 0.0000  12 Te 3.72, 4 Ni 3.88
Ni 0.2500 0.2500 0.7500  12 Te 3.71, 4 Ba 3.88
Te 0.1236 0.1236 0.3764  6 Te 3.13-3.21

no.,total DFT energy (no corrections) (eV/atom)
1,-3.491
2,-3.544